The following is a SCAN calculation of a crystal of BeGeAu2O relaxed with PBEsol, from the Alexandria database.

Cell lengths 4.433, 4.433, 4.180 Å; angles 90.00, 90.00, 90.00 degrees
Space group P4/mmm (No. 123)
Asymmetric unit:
Be  0.000  0.000  0.000 (multiplicity 1)
Ge  0.500  0.500  0.000 (multiplicity 1)
Au  0.000  0.500  0.500 (multiplicity 2)
O  0.500  0.500  0.500 (multiplicity 1)

formation energy from raw total energies	0.696	eV/atom
total moment	0.00	μB per formula unit
DOS(E_F)	0.44	states/eV per atom